Record 1
Material: ScAsIrAu
Method: DFT, PBE
State: optimized geometry

abc: 4.6176 4.6176 4.6176
angles: 60.00 60.00 60.00
Last column: nearest neighbours and their distance in Å.
Sites, in units of the cell vectors:
1 As 0.0000 0.0000 0.0000  4 Au 2.83, 4 Ir 2.83
2 Sc 0.5000 0.5000 0.5000  4 Ir 2.83, 4 Au 2.83
3 Au 0.7500 0.7500 0.7500  4 As 2.83, 4 Sc 2.83
4 Ir 0.2500 0.2500 0.2500  4 Sc 2.83, 4 As 2.83

Output
- Energy relative to the lowest polymorph listed for this composition: 0.056 eV per atom
- M_tot: 0.00 μB per formula unit


Record 2
Material: BeCuBPt
Method: DFT, PBE
State: optimized geometry

abc: 3.8788 3.8788 3.8788
angles: 60.00 60.00 60.00
Last column: nearest neighbours and their distance in Å.
Sites, in units of the cell vectors:
1 B 0.0000 0.0000 0.0000  4 Pt 2.38, 4 Cu 2.38
2 Cu 0.7500 0.7500 0.7500  4 Be 2.38, 4 B 2.38
3 Be 0.5000 0.5000 0.5000  4 Pt 2.38, 4 Cu 2.38
4 Pt 0.2500 0.2500 0.2500  4 Be 2.38, 4 B 2.38

Output
- Energy relative to the lowest polymorph listed for this composition: 0.000 eV per atom
- M_tot: 0.00 μB per formula unit


Record 3
Material: CoGeAs
Method: DFT, PBE
State: optimized geometry

abc: 4.0380 4.0380 4.0380
angles: 60.00 60.00 60.00
Last column: nearest neighbours and their distance in Å.
Sites, in units of the cell vectors:
1 Co 0.0000 0.0000 0.0000  4 Ge 2.47, 4 As 2.47
2 As 0.2500 0.2500 0.2500  4 Co 2.47
3 Ge 0.7500 0.7500 0.7500  4 Co 2.47

Output
- Energy relative to the lowest polymorph listed for this composition: 0.000 eV per atom
- M_tot: 0.00 μB per formula unit


Record 4
Material: DyGeW
Method: DFT, PBE
State: optimized geometry

abc: 4.7313 4.7313 4.7313
angles: 60.00 60.00 60.00
Last column: nearest neighbours and their distance in Å.
Sites, in units of the cell vectors:
1 Ge 0.2500 0.2500 0.2500  4 Dy 2.90
2 Dy 0.0000 0.0000 0.0000  4 W 2.90, 4 Ge 2.90
3 W 0.7500 0.7500 0.7500  4 Dy 2.90

Output
- Energy relative to the lowest polymorph listed for this composition: 0.992 eV per atom
- M_tot: 2.76 μB per formula unit


Record 5
Material: Li2Th2Zn15
Method: DFT, PBE
State: optimized geometry

abc: 6.8172 6.8172 6.8172
angles: 83.11 83.11 83.11
Last column: nearest neighbours and their distance in Å.
Sites, in units of the cell vectors:
1 Li 0.0981 0.0981 0.0981  1 Li 2.58, 6 Zn 2.76-2.86
2 Zn 0.3493 0.8437 0.3493  8 Zn 2.61-2.76, 1 Li 2.86
3 Zn 0.0000 0.5000 0.0000  8 Zn 2.58-2.63, 2 Li 2.76
4 Zn 0.3493 0.3493 0.8437  8 Zn 2.61-2.76, 1 Li 2.86
5 Zn 0.0000 0.2900 0.7100  8 Zn 2.58-2.76
6 Zn 0.6507 0.1563 0.6507  8 Zn 2.61-2.76, 1 Li 2.86
7 Zn 0.0000 0.7100 0.2900  8 Zn 2.58-2.76
8 Th 0.3419 0.3419 0.3419  18 Zn 3.20-3.48, 1 Li 3.21
9 Zn 0.7100 0.2900 0.0000  8 Zn 2.58-2.76
10 Zn 0.1563 0.6507 0.6507  8 Zn 2.61-2.76, 1 Li 2.86
11 Zn 0.2900 0.0000 0.7100  8 Zn 2.58-2.76
12 Zn 0.7100 0.0000 0.2900  8 Zn 2.58-2.76
13 Zn 0.8437 0.3493 0.3493  8 Zn 2.61-2.76, 1 Li 2.86
14 Zn 0.0000 0.0000 0.5000  8 Zn 2.58-2.63, 2 Li 2.76
15 Li 0.9019 0.9019 0.9019  1 Li 2.58, 6 Zn 2.76-2.86
16 Zn 0.5000 0.0000 0.0000  8 Zn 2.58-2.63, 2 Li 2.76
17 Zn 0.2900 0.7100 0.0000  8 Zn 2.58-2.76
18 Zn 0.6507 0.6507 0.1563  8 Zn 2.61-2.76, 1 Li 2.86
19 Th 0.6581 0.6581 0.6581  18 Zn 3.20-3.48, 1 Li 3.21

Output
- M_tot: 0.02 μB per formula unit
- Total energy: -2.2241 eV/atom


Record 6
Material: TmScHg6
Method: DFT, PBE
State: optimized geometry

abc: 6.5087 6.5087 4.9463
angles: 90.00 90.00 120.00
Last column: nearest neighbours and their distance in Å.
Sites, in units of the cell vectors:
1 Hg 0.8373 0.1627 0.5000  2 Sc 3.08, 8 Hg 3.12-3.33, 2 Tm 3.25
2 Hg 0.4997 0.5003 0.0000  2 Tm 3.10, 8 Hg 3.12-3.26, 2 Sc 3.25
3 Tm 0.3333 0.6667 0.5000  12 Hg 3.10-3.25
4 Sc 0.0000 0.0000 0.0000  12 Hg 3.08-3.25
5 Hg 0.0006 0.5003 0.0000  2 Tm 3.10, 8 Hg 3.12-3.26, 2 Sc 3.25
6 Hg 0.8373 0.6745 0.5000  2 Sc 3.08, 8 Hg 3.12-3.33, 2 Tm 3.25
7 Hg 0.3255 0.1627 0.5000  2 Sc 3.08, 8 Hg 3.12-3.33, 2 Tm 3.25
8 Hg 0.4997 0.9994 0.0000  2 Tm 3.10, 8 Hg 3.12-3.26, 2 Sc 3.25

Output
- E_form: -0.27 eV per atom
- M_tot: 0.01 μB per formula unit


Record 7
Material: Li4AgPdPb2
Method: DFT, PBE
State: optimized geometry

abc: 4.6638 4.6638 6.6232
angles: 90.00 90.00 90.00
Last column: nearest neighbours and their distance in Å.
Sites, in units of the cell vectors:
1 Li 0.5000 0.0000 0.2570  4 Li 2.83-2.89, 2 Pd 2.83, 2 Ag 2.89
2 Li 0.5000 0.5000 0.0000  4 Li 2.89, 4 Pb 2.91
3 Pd 0.5000 0.5000 0.5000  4 Pb 2.81, 4 Li 2.83
4 Li 0.0000 0.5000 0.7430  4 Li 2.83-2.89, 2 Pd 2.83, 2 Ag 2.89
5 Ag 0.0000 0.0000 0.0000  4 Li 2.89, 4 Pb 2.91
6 Pb 0.5000 0.0000 0.7369  4 Li 2.81-2.91, 2 Pd 2.81, 2 Ag 2.91
7 Li 0.0000 0.0000 0.5000  4 Pb 2.81, 4 Li 2.83
8 Pb 0.0000 0.5000 0.2631  4 Li 2.81-2.91, 2 Pd 2.81, 2 Ag 2.91

Output
- Total energy: -3.2334 eV/atom


Record 8
Material: Ga2TcW
Method: DFT, PBE
State: optimized geometry

abc: 3.1703 3.1703 5.9994
angles: 90.00 90.00 90.00
Last column: nearest neighbours and their distance in Å.
Sites, in units of the cell vectors:
1 Ga 0.5000 0.5000 0.6635  4 Tc 2.66, 4 Ga 2.72, 1 W 2.92
2 Tc 0.0000 0.0000 0.4240  5 Ga 2.66-2.97, 4 W 2.69
3 Ga 0.0000 0.0000 0.9191  4 Ga 2.72, 4 W 2.72, 2 Tc 2.97-3.03
4 W 0.5000 0.5000 0.1767  4 Tc 2.69, 5 Ga 2.72-2.92

Output
- Energy relative to the lowest polymorph listed for this composition: 0.000 eV per atom
- M_tot: 0.00 μB per formula unit